A plane-wave DFT calculation with GGA-PBE was carried out for an optimized crystal structure of NbNiMo.

Calculated values
The space group is Ima2 (46). The crystal system is orthorhombic. The calculation puts the formation energy at -0.2 eV per formula unit.

Cell: 4.8077 6.1342 6.1261 Å, 90.00 90.00 90.00°
Element x y z (fractional)
Mo: 0.2500 0.1579 0.2348
Mo: 0.7500 0.8421 0.2348
Mo: 0.2500 0.3421 0.7348
Mo: 0.7500 0.6579 0.7348
Ni: 0.0000 0.0000 0.5757
Ni: 0.0000 0.5000 0.0757
Ni: 0.5000 0.0000 0.5757
Ni: 0.5000 0.5000 0.0757
Nb: 0.2500 0.8428 0.9210
Nb: 0.2500 0.6572 0.4210
Nb: 0.7500 0.1572 0.9210
Nb: 0.7500 0.3428 0.4210